(1)
Density functional theory data (PBE) for crystalline ZrSc2Cd at its relaxed geometry.

The volume comes out at 92.42 Å³/cell. The calculation puts the polymorph energy (0 for the lowest one) at 0.074 eV/atom. Its theoretical density is 5.27 g/cm³. The value obtained for the density of states at the Fermi level is 4.0 states/eV/cell.

The space group is P4mm (No. 99) and the conventional cell measures 3.2366, 3.2366 and 8.8225 Å, with angles of 90.00, 90.00 and 90.00 degrees. The distinct sites, in fractional coordinates, are Zr at (0.0000, 0.0000, 0.0000), Sc at (0.0000, 0.0000, 0.4845), Sc at (0.5000, 0.5000, 0.7565) and Cd at (0.5000, 0.5000, 0.2476).


(2)
Density functional theory data (PBE) for crystalline Tl2InS at its relaxed geometry.

The volume comes out at 441.49 Å³/cell. The calculation puts the polymorph energy (0 for the lowest one) at 0.140 eV/atom. The value obtained for the formation energy without anion corrections is 0.03 eV/atom. Its theoretical density is 8.36 g/cm³. The value obtained for the density of states at the Fermi level is 12.2 states/eV/cell.

The space group is Fm-3m (No. 225) and the conventional cell measures 7.6145, 7.6145 and 7.6145 Å, with angles of 90.00, 90.00 and 90.00 degrees. The distinct sites, in fractional coordinates, are Tl at (0.2500, 0.2500, 0.2500), In at (0.0000, 0.0000, 0.0000) and S at (0.0000, 0.0000, 0.5000).